A geometry-optimized Cr2MoSe structure. Source: Alexandria, functional GGA-PBE.

Calculated values
Its formation energy from raw total energies is 0.34 eV/atom. The calculation puts the size of the total moment at 2.7 μB per cell. The total energy comes out at -8.049 eV per atom.

a = 4.3630 Å, b = 4.3630 Å, c = 3.0700 Å
α = 90.00°, β = 90.00°, γ = 101.65°
Atoms (fractional coordinates):
Mo (0.5000, 0.0000, 0.5000)
Cr (0.5000, 0.5000, 0.0000)
Cr (0.0000, 0.0000, 0.0000)
Se (0.0000, 0.5000, 0.5000)